Record 1
{
  "formula": "NiIrRh2",
  "functional": "PBE",
  "state": "relaxed",
  "relative_energy_mev_per_atom": 54,
  "crystal_system": "trigonal",
  "sg": "R-3m",
  "ef_mev_per_atom": 56,
  "energy_ev_per_atom": -7.280,
  "density_g_cm3": 13.9,
  "cell": [[2.712, 0.000, 0.000], [-1.356, 2.348, 0.000], [0.000, 0.000, 25.771]],
  "species": ["Ni", "Ni", "Ni", "Ir", "Ir", "Ir", "Rh", "Rh", "Rh", "Rh", "Rh", "Rh"],
  "fractional_positions": [[0.000, 0.000, 0.000], [0.333, 0.667, 0.667], [0.667, 0.333, 0.333], [0.000, 0.000, 0.500], [0.333, 0.667, 0.167], [0.667, 0.333, 0.833], [0.000, 0.000, 0.252], [0.000, 0.000, 0.748], [0.333, 0.667, 0.414], [0.333, 0.667, 0.919], [0.667, 0.333, 0.081], [0.667, 0.333, 0.586]]
}

Record 2
{
  "formula": "Ni4IrRh4",
  "functional": "PBE",
  "state": "relaxed",
  "crystal_system": "tetragonal",
  "sg": "P4_2/nmc",
  "ef_mev_per_atom": 372,
  "energy_ev_per_atom": -6.450,
  "density_g_cm3": 11.4,
  "cell": [[5.319, 0.000, 0.000], [0.000, 5.319, 0.000], [0.000, 0.000, 8.665]],
  "species": ["Ni", "Ni", "Ni", "Ni", "Ni", "Ni", "Ni", "Ni", "Ir", "Ir", "Rh", "Rh", "Rh", "Rh", "Rh", "Rh", "Rh", "Rh"],
  "fractional_positions": [[0.036, 0.250, 0.198], [0.250, 0.036, 0.698], [0.250, 0.464, 0.698], [0.464, 0.250, 0.198], [0.536, 0.750, 0.802], [0.750, 0.536, 0.302], [0.750, 0.964, 0.302], [0.964, 0.750, 0.802], [0.250, 0.750, 0.250], [0.750, 0.250, 0.750], [0.000, 0.250, 0.488], [0.000, 0.750, 0.512], [0.250, 0.000, 0.988], [0.250, 0.500, 0.988], [0.500, 0.250, 0.488], [0.500, 0.750, 0.512], [0.750, 0.000, 0.012], [0.750, 0.500, 0.012]]
}

Record 3
{
  "formula": "Ni2IrRh",
  "functional": "PBE",
  "state": "relaxed",
  "relative_energy_mev_per_atom": 133,
  "crystal_system": "orthorhombic",
  "sg": "Pnma",
  "ef_mev_per_atom": 129,
  "energy_ev_per_atom": -6.815,
  "density_g_cm3": 13.1,
  "cell": [[15.239, 0.000, 0.000], [0.000, 2.668, 0.000], [0.000, 0.000, 5.156]],
  "species": ["Ni", "Ni", "Ni", "Ni", "Ni", "Ni", "Ni", "Ni", "Ir", "Ir", "Ir", "Ir", "Rh", "Rh", "Rh", "Rh"],
  "fractional_positions": [[0.060, 0.250, 0.124], [0.174, 0.750, 0.372], [0.326, 0.250, 0.872], [0.440, 0.750, 0.624], [0.560, 0.250, 0.376], [0.674, 0.750, 0.128], [0.826, 0.250, 0.628], [0.940, 0.750, 0.876], [0.062, 0.250, 0.630], [0.438, 0.750, 0.130], [0.562, 0.250, 0.870], [0.938, 0.750, 0.370], [0.186, 0.750, 0.889], [0.314, 0.250, 0.389], [0.686, 0.750, 0.611], [0.814, 0.250, 0.111]]
}

Record 4
{
  "formula": "NiIrRh2",
  "functional": "PBE",
  "state": "relaxed",
  "relative_energy_mev_per_atom": 19,
  "crystal_system": "orthorhombic",
  "sg": "Pmm2",
  "ef_mev_per_atom": 21,
  "energy_ev_per_atom": -7.316,
  "density_g_cm3": 14.0,
  "cell": [[2.697, 0.000, 0.000], [0.000, 3.758, 0.000], [0.000, 0.000, 5.357]],
  "species": ["Ni", "Ir", "Rh", "Rh"],
  "fractional_positions": [[0.000, 0.000, 0.000], [0.500, 0.500, 0.240], [0.000, 0.000, 0.493], [0.500, 0.500, 0.754]]
}

Record 5
{
  "formula": "NiIrRh2",
  "functional": "PBE",
  "state": "relaxed",
  "relative_energy_mev_per_atom": 21,
  "crystal_system": "tetragonal",
  "sg": "I-4m2",
  "ef_mev_per_atom": 23,
  "energy_ev_per_atom": -7.314,
  "density_g_cm3": 14.0,
  "cell": [[3.784, 0.000, 0.000], [0.000, 3.784, 0.000], [0.000, 0.000, 7.585]],
  "species": ["Ni", "Ni", "Ir", "Ir", "Rh", "Rh", "Rh", "Rh"],
  "fractional_positions": [[0.000, 0.000, 0.000], [0.500, 0.500, 0.500], [0.000, 0.500, 0.250], [0.500, 0.000, 0.750], [0.000, 0.000, 0.500], [0.000, 0.500, 0.750], [0.500, 0.000, 0.250], [0.500, 0.500, 0.000]]
}

Record 6
{
  "formula": "Ni2Ir2Rh",
  "functional": "PBE",
  "state": "relaxed",
  "relative_energy_mev_per_atom": 46,
  "crystal_system": "trigonal",
  "sg": "P-3m1",
  "ef_mev_per_atom": 45,
  "energy_ev_per_atom": -7.283,
  "density_g_cm3": 15.1,
  "cell": [[2.690, 0.000, 0.000], [-1.345, 2.330, 0.000], [0.000, 0.000, 10.577]],
  "species": ["Ni", "Ni", "Ir", "Ir", "Rh"],
  "fractional_positions": [[0.333, 0.667, 0.407], [0.667, 0.333, 0.593], [0.333, 0.667, 0.788], [0.667, 0.333, 0.212], [0.000, 0.000, 0.000]]
}

Record 7
{
  "formula": "NiIr3Rh3",
  "functional": "PBE",
  "state": "relaxed",
  "relative_energy_mev_per_atom": 0,
  "crystal_system": "hexagonal",
  "sg": "P6_3/m",
  "ef_mev_per_atom": 48,
  "energy_ev_per_atom": -7.726,
  "density_g_cm3": 16.0,
  "cell": [[7.189, 0.000, 0.000], [-3.594, 6.226, 0.000], [0.000, 0.000, 4.378]],
  "species": ["Ni", "Ni", "Ir", "Ir", "Ir", "Ir", "Ir", "Ir", "Rh", "Rh", "Rh", "Rh", "Rh", "Rh"],
  "fractional_positions": [[0.333, 0.667, 0.250], [0.667, 0.333, 0.750], [0.099, 0.614, 0.750], [0.386, 0.485, 0.750], [0.485, 0.099, 0.250], [0.515, 0.901, 0.750], [0.614, 0.515, 0.250], [0.901, 0.386, 0.250], [0.052, 0.810, 0.250], [0.190, 0.242, 0.250], [0.242, 0.052, 0.750], [0.758, 0.948, 0.250], [0.810, 0.758, 0.750], [0.948, 0.190, 0.750]]
}

Record 8
{
  "formula": "Ni2IrRh",
  "functional": "PBE",
  "state": "relaxed",
  "relative_energy_mev_per_atom": 57,
  "crystal_system": "trigonal",
  "sg": "R3m",
  "ef_mev_per_atom": 53,
  "energy_ev_per_atom": -6.891,
  "density_g_cm3": 13.3,
  "cell": [[2.674, 0.000, 0.000], [-1.337, 2.315, 0.000], [0.000, 0.000, 24.929]],
  "species": ["Ni", "Ni", "Ni", "Ni", "Ni", "Ni", "Ir", "Ir", "Ir", "Rh", "Rh", "Rh"],
  "fractional_positions": [[0.000, 0.000, 0.000], [0.000, 0.000, 0.165], [0.333, 0.667, 0.667], [0.333, 0.667, 0.832], [0.667, 0.333, 0.333], [0.667, 0.333, 0.499], [0.000, 0.000, 0.750], [0.333, 0.667, 0.416], [0.667, 0.333, 0.083], [0.000, 0.000, 0.582], [0.333, 0.667, 0.249], [0.667, 0.333, 0.916]]
}

Record 9
{
  "formula": "Ni6IrRh2",
  "functional": "PBE",
  "state": "relaxed",
  "relative_energy_mev_per_atom": 42,
  "crystal_system": "monoclinic",
  "sg": "C2/m",
  "ef_mev_per_atom": 244,
  "energy_ev_per_atom": -6.229,
  "density_g_cm3": 10.7,
  "cell": [[4.127, -2.380, 0.000], [4.127, 2.380, 0.000], [-0.022, 0.000, 5.903]],
  "species": ["Ni", "Ni", "Ni", "Ni", "Ni", "Ni", "Ir", "Rh", "Rh"],
  "fractional_positions": [[0.157, 0.671, 0.663], [0.329, 0.329, 0.335], [0.329, 0.843, 0.337], [0.671, 0.157, 0.663], [0.671, 0.671, 0.665], [0.843, 0.329, 0.337], [0.500, 0.500, 0.000], [0.167, 0.167, 0.927], [0.833, 0.833, 0.073]]
}

Record 10
{
  "formula": "Ni4Ir2Rh",
  "functional": "PBE",
  "state": "relaxed",
  "relative_energy_mev_per_atom": 0,
  "crystal_system": "trigonal",
  "sg": "R-3m",
  "ef_mev_per_atom": 195,
  "energy_ev_per_atom": -6.691,
  "density_g_cm3": 13.1,
  "cell": [[1.322, 0.763, 15.071], [-1.322, 0.763, 15.071], [0.000, -1.527, 15.071]],
  "species": ["Ni", "Ni", "Ni", "Ni", "Ir", "Ir", "Rh"],
  "fractional_positions": [[0.145, 0.145, 0.145], [0.287, 0.287, 0.287], [0.713, 0.713, 0.713], [0.855, 0.855, 0.855], [0.234, 0.234, 0.234], [0.766, 0.766, 0.766], [0.000, 0.000, 0.000]]
}

Record 11
{
  "formula": "NiIrRh2",
  "functional": "PBE",
  "state": "relaxed",
  "relative_energy_mev_per_atom": 18,
  "crystal_system": "monoclinic",
  "sg": "Cm",
  "ef_mev_per_atom": 20,
  "energy_ev_per_atom": -7.316,
  "density_g_cm3": 13.9,
  "cell": [[8.853, 0.000, 0.000], [0.000, 2.706, 0.000], [-0.859, 0.000, 4.543]],
  "species": ["Ni", "Ni", "Ir", "Ir", "Rh", "Rh", "Rh", "Rh"],
  "fractional_positions": [[0.000, 0.000, 0.000], [0.500, 0.500, 0.000], [0.245, 0.500, 0.246], [0.745, 0.000, 0.246], [0.251, 0.000, 0.756], [0.496, 0.000, 0.492], [0.751, 0.500, 0.756], [0.996, 0.500, 0.492]]
}

Record 12
{
  "formula": "Ni2IrRh",
  "functional": "PBE",
  "state": "relaxed",
  "relative_energy_mev_per_atom": 78,
  "crystal_system": "trigonal",
  "sg": "R-3m",
  "ef_mev_per_atom": 73,
  "energy_ev_per_atom": -6.871,
  "density_g_cm3": 13.2,
  "cell": [[2.673, 0.000, 0.000], [-1.336, 2.315, 0.000], [0.000, 0.000, 25.098]],
  "species": ["Ni", "Ni", "Ni", "Ni", "Ni", "Ni", "Ir", "Ir", "Ir", "Rh", "Rh", "Rh"],
  "fractional_positions": [[0.000, 0.000, 0.250], [0.000, 0.000, 0.750], [0.333, 0.667, 0.417], [0.333, 0.667, 0.917], [0.667, 0.333, 0.083], [0.667, 0.333, 0.583], [0.000, 0.000, 0.000], [0.333, 0.667, 0.667], [0.667, 0.333, 0.333], [0.000, 0.000, 0.500], [0.333, 0.667, 0.167], [0.667, 0.333, 0.833]]
}